Material: Na2PaCoO5
Method: DFT, PBE+U
State: relaxed

Output
E_tot (Ry/atom): -0.4879

Structure (POSCAR):
```
Na2PaCoO5
1.0
-1.6763 -3.0655 0.3566
3.4247 -2.2552 -3.2879
2.4942 1.3324 5.8850
O Na Pa Co
5 2 1 1
Cartesian
0.0000 0.0000 0.0000 O
2.3804 -3.4568 -1.2316 O
0.8470 -2.4470 0.2406 O
3.3956 -1.5413 2.7130 O
1.8621 -0.5315 4.1852 O
2.8419 -3.4360 1.1159 Na
1.4007 -0.5522 1.8377 Na
1.7124 -1.1276 -1.6440 Pa
-0.8382 -1.5327 0.1783 Co
```